Record 1
Below is a geometry-optimized Zr2Mo4Pb3C3 structure, with properties calculated at the PBE level.

## Properties
energy: -201.0 eV/cell

abc: 5.7147 5.7147 14.4479
angles: 101.08 101.08 60.06
With the nearest neighbours (Å) after each atom.
Fractional coordinates of all 24 atoms:
1 Mo 0.1928 0.0198 0.5738  3 C 2.15-2.17
2 Pb 0.7737 0.5820 0.2491  2 Zr 3.05, 4 Mo 3.07-3.13, 4 Pb 3.19-3.20
3 Mo 0.0198 0.1928 0.0738  3 C 2.15-2.17
4 Mo 0.8546 0.6896 0.5732  3 C 2.14-2.16
5 Zr 0.4717 0.6371 0.4112  3 C 2.28-2.32
6 C 0.3277 0.8439 0.0002  4 Mo 2.14-2.16, 2 Zr 2.31-2.32
7 Zr 0.6371 0.4717 0.9112  3 C 2.28-2.32
8 Pb 0.9381 0.0619 0.7500  2 Zr 3.05, 4 Mo 3.08-3.12, 4 Pb 3.19-3.20
9 C 0.6723 0.1561 0.9998  4 Mo 2.14-2.16, 2 Zr 2.31-2.32
10 Mo 0.8072 0.9802 0.4262  3 C 2.15-2.17
11 Mo 0.9802 0.8072 0.9262  3 C 2.15-2.17
12 C 0.5000 0.0000 0.5000  4 Mo 2.16-2.17, 2 Zr 2.28
13 Pb 0.2263 0.4180 0.7509  2 Zr 3.05, 4 Mo 3.07-3.13, 4 Pb 3.19-3.20
14 Mo 0.6896 0.8546 0.0732  3 C 2.14-2.16
15 Mo 0.3104 0.1454 0.9268  3 C 2.14-2.16
16 C 0.0000 0.5000 0.0000  4 Mo 2.16-2.17, 2 Zr 2.28
17 Pb 0.5820 0.7737 0.7491  2 Zr 3.05, 4 Mo 3.07-3.13, 4 Pb 3.19-3.20
18 C 0.8439 0.3277 0.5002  4 Mo 2.14-2.16, 2 Zr 2.31-2.32
19 Zr 0.3629 0.5283 0.0888  3 C 2.28-2.32
20 Mo 0.1454 0.3104 0.4268  3 C 2.14-2.16
21 Zr 0.5283 0.3629 0.5888  3 C 2.28-2.32
22 Pb 0.0619 0.9381 0.2500  2 Zr 3.05, 4 Mo 3.08-3.12, 4 Pb 3.19-3.20
23 C 0.1561 0.6723 0.4998  4 Mo 2.14-2.16, 2 Zr 2.31-2.32
24 Pb 0.4180 0.2263 0.2509  2 Zr 3.05, 4 Mo 3.07-3.13, 4 Pb 3.19-3.20


Record 2
Below is a geometry-optimized Mo3PdC structure, with properties calculated at the PBE level.

## Properties
energy: -46.5 eV/cell

abc: 4.1379 4.1379 4.1379
angles: 90.00 90.00 90.00
With the nearest neighbours (Å) after each atom.
Fractional coordinates of all 5 atoms:
1 Mo 0.5000 0.0000 0.5000  2 C 2.07
2 Mo 0.0000 0.5000 0.5000  2 C 2.07
3 Pd 0.0000 0.0000 0.0000  12 Mo 2.93
4 Mo 0.5000 0.5000 0.0000  2 C 2.07
5 C 0.5000 0.5000 0.5000  6 Mo 2.07


Record 3
Below is a geometry-optimized Pr2Mo2C3 structure, with properties calculated at the PBE level.

## Properties
energy: -240.6 eV/cell

abc: 6.0237 6.7137 12.0426
angles: 89.98 111.92 89.98
With the nearest neighbours (Å) after each atom.
Fractional coordinates of all 28 atoms:
1 Mo 0.8195 0.5054 0.3804  4 C 2.00-2.11
2 Pr 0.6879 0.7157 0.5917  5 C 2.66-2.91
3 Mo 0.8226 0.2438 0.6569  4 C 2.06-2.16
4 C 0.9446 0.2809 0.5104  3 Mo 2.10-2.16
5 Pr 0.3121 0.2157 0.9082  5 C 2.66-2.91
6 C 0.9685 0.9856 0.7476  3 Mo 2.06-2.11
7 Pr 0.2713 0.0008 0.6361  5 C 2.58-2.82
8 C 0.9686 0.5144 0.2477  3 Mo 2.06-2.11
9 Mo 0.8226 0.2564 0.1569  4 C 2.06-2.16
10 Pr 0.7286 0.5008 0.8638  5 C 2.58-2.82
11 Mo 0.1805 0.4946 0.6196  4 C 2.00-2.11
12 Pr 0.6879 0.7843 0.0918  5 C 2.66-2.91
13 C 0.0554 0.7810 0.9896  3 Mo 2.10-2.16
14 C 0.5035 0.8711 0.8595  2 Mo 2.00-2.08
15 Mo 0.1774 0.7562 0.3431  4 C 2.06-2.16
16 C 0.9446 0.2190 0.0104  3 Mo 2.10-2.16
17 C 0.0553 0.7191 0.4896  3 Mo 2.10-2.16
18 C 0.4965 0.1289 0.1405  2 Mo 2.00-2.08
19 Mo 0.1774 0.7436 0.8431  4 C 2.06-2.16
20 Pr 0.2714 0.4992 0.1362  5 C 2.58-2.82
21 C 0.0315 0.0144 0.2524  3 Mo 2.06-2.11
22 Mo 0.8194 0.9947 0.8803  4 C 2.00-2.11
23 Pr 0.3121 0.2843 0.4083  5 C 2.66-2.91
24 C 0.4965 0.3711 0.6405  2 Mo 2.00-2.08
25 Pr 0.7287 0.9992 0.3639  5 C 2.58-2.82
26 C 0.5035 0.6289 0.3595  2 Mo 2.00-2.08
27 C 0.0314 0.4856 0.7523  3 Mo 2.06-2.11
28 Mo 0.1806 0.0053 0.1197  4 C 2.00-2.11


Record 4
Below is a geometry-optimized PrMoC2 structure, with properties calculated at the PBE level.

## Properties
energy: -67.3 eV/cell

abc: 3.9592 3.9592 7.9969
angles: 96.97 96.97 89.27
With the nearest neighbours (Å) after each atom.
Fractional coordinates of all 8 atoms:
1 Mo 0.5039 0.3830 0.8078  4 C 2.04-2.25
2 Mo 0.3830 0.5039 0.3078  4 C 2.04-2.25
3 Pr 0.9236 0.0549 0.5139  5 C 2.68-2.94
4 C 0.4434 0.6211 0.5650  1 C 1.45
5 C 0.8648 0.4722 0.2163  1 C 1.45
6 C 0.6211 0.4434 0.0650  1 C 1.45
7 Pr 0.0549 0.9236 0.0139  5 C 2.68-2.94
8 C 0.4722 0.8648 0.7163  1 C 1.45


Record 5
Below is a geometry-optimized TbPrSi2Mo2C structure, with properties calculated at the PBE level.

## Properties
energy: -55.0 eV/cell

abc: 5.9370 5.9370 7.2895
angles: 123.65 123.65 38.24
With the nearest neighbours (Å) after each atom.
Fractional coordinates of all 7 atoms:
1 Si 0.8665 0.8665 0.3271  1 Si 2.53, 3 Mo 2.54-2.58
2 Si 0.1331 0.1331 0.6680  1 Si 2.53, 3 Mo 2.56-2.62
3 Mo 0.7949 0.7949 0.9206  1 C 2.02
4 Mo 0.2064 0.2064 0.0822  1 C 2.02
5 C 0.0025 0.0025 0.0085  2 Mo 2.02
6 Tb 0.5737 0.5737 0.2950  2 C 2.61
7 Pr 0.4229 0.4229 0.6987  2 C 2.70


Record 6
Below is a geometry-optimized Pr2Si2MoWC structure, with properties calculated at the PBE level.

## Properties
energy: -56.8 eV/cell

abc: 5.9680 5.9680 7.3849
angles: 123.57 123.57 38.77
With the nearest neighbours (Å) after each atom.
Fractional coordinates of all 7 atoms:
1 W 0.7062 0.7062 0.5780  1 C 2.02
2 Pr 0.9233 0.9233 0.1985  2 C 2.72
3 Si 0.6348 0.6348 0.1750  2 Mo 2.57, 1 W 2.59, 1 Si 2.60
4 Pr 0.0760 0.0760 0.8016  2 C 2.72
5 Si 0.3637 0.3637 0.8248  2 W 2.57, 1 Si 2.60, 1 Mo 2.60
6 Mo 0.2943 0.2943 0.4211  1 C 2.05
7 C 0.5017 0.5017 0.5008  1 W 2.02, 1 Mo 2.05


Record 7
Below is a geometry-optimized Sr2ReMoC6 structure, with properties calculated at the PBE level.

## Properties
energy: -72.6 eV/cell

abc: 5.8357 5.8357 5.8357
angles: 120.02 120.02 89.97
With the nearest neighbours (Å) after each atom.
Fractional coordinates of all 10 atoms:
1 C 0.2535 0.7576 0.0111  1 Re 2.05, 1 Mo 2.08
2 C 0.7465 0.2424 0.9889  1 Re 2.05, 1 Mo 2.08
3 C 0.2424 0.2535 0.4960  1 Re 2.05, 1 Mo 2.08
4 Sr 0.7500 0.2500 0.5000  12 C 2.89-2.95
5 Sr 0.2500 0.7500 0.5000  12 C 2.89-2.95
6 C 0.7576 0.7465 0.5040  1 Re 2.05, 1 Mo 2.08
7 C 0.2480 0.2480 0.0000  1 Re 2.05, 1 Mo 2.08
8 C 0.7520 0.7520 0.0000  1 Re 2.05, 1 Mo 2.08
9 Mo 0.5000 0.5000 0.0000  6 C 2.08
10 Re 0.0000 0.0000 0.0000  6 C 2.05


Record 8
Below is a geometry-optimized Mo4C3S structure, with properties calculated at the PBE level.

## Properties
energy: -149.7 eV/cell

abc: 3.1598 3.1598 21.9129
angles: 90.00 90.00 120.00
With the nearest neighbours (Å) after each atom.
Fractional coordinates of all 16 atoms:
1 Mo 0.0000 0.0000 0.1611  3 C 2.06
2 C 0.0000 0.0000 0.0000  6 Mo 2.24
3 C 0.6667 0.3333 0.1171  6 Mo 2.06-2.22
4 C 0.3333 0.6667 0.8829  6 Mo 2.06-2.22
5 C 0.6667 0.3333 0.3829  6 Mo 2.06-2.22
6 S 0.6667 0.3333 0.7500  6 Mo 2.67
7 Mo 0.0000 0.0000 0.6611  3 C 2.06
8 Mo 0.6667 0.3333 0.9404  6 C 2.22-2.24
9 S 0.3333 0.6667 0.2500  6 Mo 2.67
10 Mo 0.3333 0.6667 0.4404  6 C 2.22-2.24
11 Mo 0.3333 0.6667 0.0596  6 C 2.22-2.24
12 Mo 0.0000 0.0000 0.8389  3 C 2.06
13 Mo 0.6667 0.3333 0.5596  6 C 2.22-2.24
14 C 0.3333 0.6667 0.6171  6 Mo 2.06-2.22
15 C 0.0000 0.0000 0.5000  6 Mo 2.24
16 Mo 0.0000 0.0000 0.3389  3 C 2.06


Question: Look up the energy of the second one.
Answer: -46.5 eV/cell